No. 1
LaBe2P PBE-GGA optimized geometry; formation enthalpy at 0 K = -1 kJ per mole of atoms; magnetic moment = 0.00 μB/atom; crystal system = orthorhombic
1.0
-0.892 0.312 -3.185
-2.949 -0.305 1.500
-0.295 6.282 0.698
La P Be
1 1 2
direct
0.000 0.000 0.509 La
0.500 0.500 0.830 P
0.500 0.500 0.163 Be
0.000 0.000 0.997 Be


No. 2
LiZr2F PBE-GGA optimized geometry; magnetic moment = 0.00 μB/atom; crystal system = tetragonal; distance to the lowest polymorph of the same formula = 0.000 eV per atom
1.0
-4.707 2.286 0.375
-1.179 -1.632 -4.845
-5.239 -4.774 0.043
Zr F Li
4 2 2
direct
0.030 0.625 0.250 Zr
0.375 0.280 0.750 Zr
0.720 0.125 0.250 Zr
0.875 0.970 0.750 Zr
0.000 0.000 0.000 F
0.750 0.250 0.500 F
0.500 0.500 0.000 Li
0.250 0.750 0.500 Li


no.,N(E_F) (states/eV/f.u.)
1,1.7
2,1.3